(1)
The following is a DFT calculation (PBE) of an optimized crystal structure of CaPr4As5.

a b c (Å): 11.3930 11.3930 11.3930
angles (deg): 158.23 149.04 38.16
Closest atoms and distances in Å follow each position.
Positions (direct):
Ca: 0.0000 0.0000 0.0000  6 As 3.04-3.07
Pr: 0.1989 0.1989 0.0000  6 As 3.00-3.07
Pr: 0.4015 0.4015 0.0000  6 As 3.02-3.05
Pr: 0.5985 0.5985 0.0000  6 As 3.02-3.05
Pr: 0.8011 0.8011 0.0000  6 As 3.00-3.07
As: 0.1019 0.6019 0.5000  4 Pr 3.00-3.04, 2 Ca 3.07
As: 0.3009 0.8009 0.5000  6 Pr 3.04-3.07
As: 0.5000 0.0000 0.5000  4 Pr 3.02, 2 Ca 3.04
As: 0.6991 0.1991 0.5000  6 Pr 3.04-3.07
As: 0.8981 0.3981 0.5000  4 Pr 3.00-3.04, 2 Ca 3.07

Summary:
**SG**: Immm, No. 71
**N(E_F)**: 4.9 states/eV/f.u.
**Crystal system**: orthorhombic

=====

(2)
The following is a DFT calculation (PBE) of an optimized crystal structure of CaPrAs.

a b c (Å): 5.0023 5.0023 5.0023
angles (deg): 60.00 60.00 60.00
Closest atoms and distances in Å follow each position.
Positions (direct):
Ca: 0.0000 0.0000 0.0000  4 As 3.06
Pr: 0.5000 0.5000 0.5000  4 As 3.06
As: 0.7500 0.7500 0.7500  4 Pr 3.06, 4 Ca 3.06

Summary:
**SG**: F-43m, No. 216
**N(E_F)**: 2.7 states/eV/f.u.
**Crystal system**: cubic

=====

(3)
The following is a DFT calculation (PBE) of an optimized crystal structure of CaPr3As4.

a b c (Å): 6.0744 6.0744 6.0744
angles (deg): 90.00 90.00 90.00
Closest atoms and distances in Å follow each position.
Positions (direct):
Ca: 0.0000 0.0000 0.0000  6 As 3.04
Pr: 0.0000 0.5000 0.5000  6 As 3.04
Pr: 0.5000 0.0000 0.5000  6 As 3.04
Pr: 0.5000 0.5000 0.0000  6 As 3.04
As: 0.0000 0.0000 0.5000  4 Pr 3.04, 2 Ca 3.04
As: 0.0000 0.5000 0.0000  4 Pr 3.04, 2 Ca 3.04
As: 0.5000 0.0000 0.0000  4 Pr 3.04, 2 Ca 3.04
As: 0.5000 0.5000 0.5000  6 Pr 3.04

Summary:
**SG**: Pm-3m, No. 221
**N(E_F)**: 3.3 states/eV/f.u.
**Crystal system**: cubic

=====

(4)
The following is a DFT calculation (PBE) of an optimized crystal structure of CaPr5As6.

a b c (Å): 7.4537 7.4537 7.4616
angles (deg): 99.60 99.60 120.02
Closest atoms and distances in Å follow each position.
Positions (direct):
Ca: 0.0000 0.0000 0.0000  6 As 3.06
Pr: 0.1663 0.8337 0.5000  6 As 3.03-3.05
Pr: 0.3332 0.6668 0.0000  6 As 3.04
Pr: 0.5000 0.5000 0.5000  6 As 3.03-3.05
Pr: 0.6668 0.3332 0.0000  6 As 3.04
Pr: 0.8337 0.1663 0.5000  6 As 3.03-3.05
As: 0.0835 0.4187 0.2501  5 Pr 3.03-3.05, 1 Ca 3.06
As: 0.2517 0.2517 0.7489  5 Pr 3.03-3.04, 1 Ca 3.06
As: 0.4187 0.0835 0.2501  5 Pr 3.03-3.05, 1 Ca 3.06
As: 0.5813 0.9165 0.7499  5 Pr 3.03-3.05, 1 Ca 3.06
As: 0.7483 0.7483 0.2511  5 Pr 3.03-3.04, 1 Ca 3.06
As: 0.9165 0.5813 0.7499  5 Pr 3.03-3.05, 1 Ca 3.06

Summary:
**SG**: C2/m, No. 12
**N(E_F)**: 5.0 states/eV/f.u.
**Crystal system**: monoclinic

=====

(5)
The following is a DFT calculation (PBE) of an optimized crystal structure of CaPrAsPt.

a b c (Å): 5.1268 5.1268 5.1268
angles (deg): 60.00 60.00 60.00
Closest atoms and distances in Å follow each position.
Positions (direct):
Ca: 0.0000 0.0000 0.0000  4 As 3.14, 4 Pt 3.14
Pr: 0.5000 0.5000 0.5000  4 As 3.14, 4 Pt 3.14
As: 0.7500 0.7500 0.7500  4 Pr 3.14, 4 Ca 3.14
Pt: 0.2500 0.2500 0.2500  4 Pr 3.14, 4 Ca 3.14

Summary:
**SG**: F-43m, No. 216
**N(E_F)**: 0.5 states/eV/f.u.
**Crystal system**: cubic

=====

(6)
The following is a DFT calculation (PBE) of an optimized crystal structure of CaPrPu2As4.

a b c (Å): 7.2610 7.2610 7.2610
angles (deg): 131.57 131.57 70.90
Closest atoms and distances in Å follow each position.
Positions (direct):
Ca: 0.0000 0.0000 0.0000  6 As 2.97-2.98
Pr: 0.5000 0.5000 0.0000  6 As 2.95-2.98
Pu: 0.2500 0.7500 0.5000  6 As 2.96-2.98
Pu: 0.7500 0.2500 0.5000  6 As 2.96-2.98
As: 0.0000 0.5000 0.5000  2 Pu 2.96, 2 Pr 2.98, 2 Ca 2.98
As: 0.2507 0.2507 0.0000  1 Pr 2.95, 1 Ca 2.97, 4 Pu 2.98
As: 0.5000 0.0000 0.5000  2 Pu 2.96, 2 Pr 2.98, 2 Ca 2.98
As: 0.7493 0.7493 0.0000  1 Pr 2.95, 1 Ca 2.97, 4 Pu 2.98

Summary:
**SG**: I4/mmm, No. 139
**N(E_F)**: 24.9 states/eV/f.u.
**Crystal system**: tetragonal

=====

(7)
The following is a DFT calculation (PBE) of an optimized crystal structure of CaPrAs2Rh5.

a b c (Å): 4.2428 4.2428 9.0988
angles (deg): 90.00 90.00 90.00
Closest atoms and distances in Å follow each position.
Positions (direct):
Ca: 0.0000 0.0000 0.0000  8 Rh 3.22, 8 As 3.29
Pr: 0.0000 0.0000 0.5000  12 Rh 3.00
As: 0.5000 0.5000 0.1471  4 Rh 2.38
As: 0.5000 0.5000 0.8529  4 Rh 2.38
Rh: 0.0000 0.5000 0.2662  2 As 2.38
Rh: 0.0000 0.5000 0.7338  2 As 2.38
Rh: 0.5000 0.0000 0.2662  2 As 2.38
Rh: 0.5000 0.0000 0.7338  2 As 2.38
Rh: 0.5000 0.5000 0.5000  4 Pr 3.00, 8 Rh 3.00, 2 As 3.21

Summary:
**SG**: P4/mmm, No. 123
**N(E_F)**: 4.7 states/eV/f.u.
**Crystal system**: tetragonal

=====

(8)
The following is a DFT calculation (PBE) of an optimized crystal structure of CaPr2As3Rh4.

a b c (Å): 4.1363 4.1363 11.5102
angles (deg): 90.00 90.00 90.00
Closest atoms and distances in Å follow each position.
Positions (direct):
Ca: 0.0000 0.0000 0.0000  4 Rh 2.81, 4 As 2.92
Pr: 0.0000 0.5000 0.7308  8 Rh 3.16-3.37, 4 As 3.17
Pr: 0.5000 0.0000 0.2692  8 Rh 3.16-3.37, 4 As 3.17
As: 0.0000 0.5000 0.3747  5 Rh 2.41-2.52
As: 0.5000 0.0000 0.6253  5 Rh 2.41-2.52
As: 0.5000 0.5000 0.0000  4 Rh 2.81, 4 Ca 2.92
Rh: 0.0000 0.0000 0.5000  4 As 2.52
Rh: 0.0000 0.5000 0.1654  1 As 2.41
Rh: 0.5000 0.0000 0.8346  1 As 2.41
Rh: 0.5000 0.5000 0.5000  4 As 2.52

Summary:
**SG**: P-4m2, No. 115
**N(E_F)**: 4.1 states/eV/f.u.
**Crystal system**: tetragonal

=====

Which E_form belongs to each record? In order, -1372; -802; -1335; -1396; -1024; -1104; -674; -881 meV per atom.